First-principles (GGA-PBE) data for ScNi2W after structural relaxation, as listed in Alexandria via LeMat-Bulk.

Lattice parameters (Å, degrees): 8.521 8.521 8.521 19.44 19.44 19.44
Positions (direct):
Ni 0.998 0.998 0.998
W 0.742 0.742 0.742
Sc 0.506 0.506 0.506
Ni 0.255 0.255 0.255

Formation energy from the elements in eV per formula unit: 0.956
Relative energy among the computed polymorphs in meV/atom: 358
E_tot in eV for the cell shown: -29.89